No. 1
! GGA-PBEsol LiAl2Si, optimized geometry; values from VASP
! - energy relative to the elements, uncorrected (eV/atom) = -0.01
! - V (Å³/atom) = 15.3
! - final energy (eV per formula unit) = -16.0
&SYSTEM
  ibrav = 0, nat = 4, ntyp = 3
/
ATOMIC_SPECIES
Si 28.09 Si.upf
Al 26.98 Al.upf
Li 6.94 Li.upf
ATOMIC_POSITIONS angstrom
Si -0.3433 0.6358 2.9663
Al -0.9861 -1.6586 1.4851
Al 1.6452 1.3897 1.1363
Li -1.0024 0.9048 0.3449
CELL_PARAMETERS angstrom
-2.0048 1.8095 0.6897
-1.9722 -3.3172 2.9703
3.2904 2.7793 2.2726

---

No. 2
! GGA-PBEsol LiAlSi, optimized geometry; values from VASP
! - energy relative to the elements, uncorrected (eV/atom) = -0.04
! - V (Å³/atom) = 14.9
! - final energy (eV per formula unit) = -11.9
&SYSTEM
  ibrav = 0, nat = 3, ntyp = 3
/
ATOMIC_SPECIES
Si 28.09 Si.upf
Al 26.98 Al.upf
Li 6.94 Li.upf
ATOMIC_POSITIONS angstrom
Si 1.4209 1.9018 1.3378
Al 0.0000 0.0000 0.0630
Li 0.0000 0.0000 2.7250
CELL_PARAMETERS angstrom
2.8418 0.0000 0.0000
0.0000 3.8036 0.0000
-1.4209 -1.9018 4.1257

---

No. 3
! GGA-PBEsol LiSm2Al, optimized geometry; values from VASP
! - V (Å³/atom) = 24.5
! - final energy (eV per formula unit) = -17.0
&SYSTEM
  ibrav = 0, nat = 4, ntyp = 3
/
ATOMIC_SPECIES
Al 26.98 Al.upf
Sm 150.36 Sm.upf
Li 6.94 Li.upf
ATOMIC_POSITIONS angstrom
Al 5.1742 2.9873 2.1124
Sm 2.5871 1.4937 1.0562
Sm 7.7613 4.4810 3.1685
Li 0.0000 0.0000 0.0000
CELL_PARAMETERS angstrom
5.1742 0.0000 0.0000
2.5871 4.4810 0.0000
2.5871 1.4937 4.2247

---

No. 4
! GGA-PBEsol Sr2LiAl, optimized geometry; values from VASP
! - V (Å³/atom) = 31.7
! - final energy (eV per formula unit) = -9.8
&SYSTEM
  ibrav = 0, nat = 4, ntyp = 3
/
ATOMIC_SPECIES
Sr 87.62 Sr.upf
Al 26.98 Al.upf
Li 6.94 Li.upf
ATOMIC_POSITIONS angstrom
Sr -4.4692 1.2244 5.0335
Sr -2.8299 1.9155 1.7697
Al -2.6985 -1.7500 0.9153
Li -1.7382 -0.9566 3.4249
CELL_PARAMETERS angstrom
-3.4109 0.2641 -1.6573
-1.8707 -4.3799 3.1523
0.7341 5.3614 3.7030

---

No. 5
! GGA-PBEsol Sr2LiAl, optimized geometry; values from VASP
! - V (Å³/atom) = 33.6
! - final energy (eV per formula unit) = -9.9
&SYSTEM
  ibrav = 0, nat = 4, ntyp = 3
/
ATOMIC_SPECIES
Sr 87.62 Sr.upf
Al 26.98 Al.upf
Li 6.94 Li.upf
ATOMIC_POSITIONS angstrom
Sr 2.1240 0.0000 5.8599
Sr 0.0000 2.5673 3.2933
Al 2.1240 0.0000 2.3144
Li 2.1240 2.5673 0.8599
CELL_PARAMETERS angstrom
4.2480 0.0000 0.0000
0.0000 5.1346 0.0000
-2.1240 0.0000 6.1556

---

No. 6
! GGA-PBEsol SrLiAl, optimized geometry; values from VASP
! - V (Å³/atom) = 26.6
! - final energy (eV per formula unit) = -8.0
&SYSTEM
  ibrav = 0, nat = 3, ntyp = 3
/
ATOMIC_SPECIES
Sr 87.62 Sr.upf
Al 26.98 Al.upf
Li 6.94 Li.upf
ATOMIC_POSITIONS angstrom
Sr -2.5886 -1.9451 -1.1436
Al 0.0000 0.0000 0.0000
Li -2.6372 1.3027 -0.0293
CELL_PARAMETERS angstrom
-0.3351 -0.7560 -3.4456
-2.2049 -4.4368 1.1879
-2.8533 4.1724 -0.6380

---

No. 7
! GGA-PBEsol Sr2LiAl, optimized geometry; values from VASP
! - V (Å³/atom) = 31.7
! - final energy (eV per formula unit) = -9.8
&SYSTEM
  ibrav = 0, nat = 4, ntyp = 3
/
ATOMIC_SPECIES
Sr 87.62 Sr.upf
Al 26.98 Al.upf
Li 6.94 Li.upf
ATOMIC_POSITIONS angstrom
Sr 1.9086 2.8305 5.7251
Sr 1.9086 0.0000 3.3441
Al 1.9086 2.8305 0.3270
Li 0.0000 2.8305 2.3368
CELL_PARAMETERS angstrom
3.8172 0.0000 0.0000
0.0000 5.6610 0.0000
-1.9086 -2.8305 5.8665

---

No. 8
! GGA-PBEsol Sr3LiAl, optimized geometry; values from VASP
! - V (Å³/atom) = 49.1
! - final energy (eV per formula unit) = -10.6
&SYSTEM
  ibrav = 0, nat = 5, ntyp = 3
/
ATOMIC_SPECIES
Sr 87.62 Sr.upf
Al 26.98 Al.upf
Li 6.94 Li.upf
ATOMIC_POSITIONS angstrom
Sr 0.0000 3.1313 0.0000
Sr 0.0000 0.0000 3.1313
Sr 3.1313 0.0000 0.0000
Al 0.0000 0.0000 0.0000
Li 3.1313 3.1313 3.1313
CELL_PARAMETERS angstrom
6.2627 0.0000 0.0000
0.0000 6.2627 0.0000
0.0000 0.0000 6.2627

---

No. 9
! GGA-PBEsol Sr2LiAl, optimized geometry; values from VASP
! - V (Å³/atom) = 32.5
! - final energy (eV per formula unit) = -10.0
&SYSTEM
  ibrav = 0, nat = 4, ntyp = 3
/
ATOMIC_SPECIES
Sr 87.62 Sr.upf
Al 26.98 Al.upf
Li 6.94 Li.upf
ATOMIC_POSITIONS angstrom
Sr 0.0000 0.0000 6.3848
Sr 0.0000 0.0000 1.8849
Al 1.9831 1.9831 0.0000
Li 1.9831 1.9831 4.1348
CELL_PARAMETERS angstrom
3.9661 0.0000 0.0000
0.0000 3.9661 0.0000
0.0000 0.0000 8.2697

---

No. 10
! GGA-PBEsol SrLi4Al, optimized geometry; values from VASP
! - V (Å³/atom) = 21.1
! - final energy (eV per formula unit) = -14.0
&SYSTEM
  ibrav = 0, nat = 6, ntyp = 3
/
ATOMIC_SPECIES
Sr 87.62 Sr.upf
Al 26.98 Al.upf
Li 6.94 Li.upf
ATOMIC_POSITIONS angstrom
Sr -5.9500 -5.1475 -6.7245
Al 0.0000 0.0000 0.0000
Li -2.9494 -2.5516 -3.3333
Li -3.7431 -5.1722 -4.2562
Li -5.6641 -3.0143 -4.2084
Li -3.5100 -2.9886 -6.1340
CELL_PARAMETERS angstrom
-5.2929 -0.9020 -1.7061
-1.0929 -0.8519 -5.4606
-1.5476 -5.1094 -1.7992

---

No. 11
! GGA-PBEsol LiTaAl2, optimized geometry; values from VASP
! - V (Å³/atom) = 15.9
! - final energy (eV per formula unit) = -23.3
&SYSTEM
  ibrav = 0, nat = 4, ntyp = 3
/
ATOMIC_SPECIES
Ta 180.95 Ta.upf
Al 26.98 Al.upf
Li 6.94 Li.upf
ATOMIC_POSITIONS angstrom
Ta 0.0000 0.0000 0.0000
Al 1.4416 2.3487 0.0000
Al 1.4416 0.0000 2.3487
Li 0.0000 2.3487 2.3487
CELL_PARAMETERS angstrom
2.8831 0.0000 0.0000
0.0000 4.6975 0.0000
0.0000 0.0000 4.6975

---

No. 12
! GGA-PBEsol LiTaAl2, optimized geometry; values from VASP
! - V (Å³/atom) = 16.6
! - final energy (eV per formula unit) = -22.5
&SYSTEM
  ibrav = 0, nat = 4, ntyp = 3
/
ATOMIC_SPECIES
Li 6.94 Li.upf
Al 26.98 Al.upf
Ta 180.95 Ta.upf
ATOMIC_POSITIONS angstrom
Li 0.0000 0.0000 4.4111
Al 0.0000 0.0000 0.0088
Al 1.3540 1.4101 6.5803
Ta 1.3540 1.4101 2.0141
CELL_PARAMETERS angstrom
2.7646 0.0558 0.0000
-0.0566 2.7645 0.0000
0.0000 0.0000 8.6762